Computed, not measured: an optimized crystal structure of LiAlMo at the PBEsol level of DFT.

Computed properties:
**Crystal system**: trigonal
**Energy of formation**: 187 meV/atom
**VASP energy**: -5.7548 eV/atom

Cell: 2.599 4.360 4.360 Å, 120.00 90.00 90.00°
Sites, in units of the cell vectors:
Mo  0.338  0.333  0.667
Al  0.864  0.000  0.000
Li  0.798  0.667  0.333